# 1
{"formula": "Rb3SrCu2Cl9", "functional": "PBE", "state": "optimized geometry", "lattice": [[7.2201, 0.0000, 0.0000], [-3.6100, 6.2528, 0.0000], [0.0000, 0.0000, 9.1284]], "species": ["Rb", "Rb", "Rb", "Sr", "Cu", "Cu", "Cl", "Cl", "Cl", "Cl", "Cl", "Cl", "Cl", "Cl", "Cl"], "frac_coords": [[0.3333, 0.6667, 0.6937], [0.0000, 0.0000, 0.0000], [0.6667, 0.3333, 0.3063], [0.0000, 0.0000, 0.5000], [0.3333, 0.6667, 0.1511], [0.6667, 0.3333, 0.8489], [0.8237, 0.1763, 0.6933], [0.8237, 0.6475, 0.6933], [0.3525, 0.1763, 0.6933], [0.6475, 0.8237, 0.3067], [0.1763, 0.3525, 0.3067], [0.1763, 0.8237, 0.3067], [0.5000, 0.0000, 0.0000], [0.0000, 0.5000, 0.0000], [0.5000, 0.5000, 0.0000]], "magmom_total_mub_per_cell": 0.37, "final_energy_ev_per_atom": -3.3974, "raw_formation_energy_kj_per_mol_fu": -2081, "vol_a3_per_cell": 412, "dos_at_fermi_per_ev_fu": 5.24}


# 2
{"formula": "RbTiCo2Cl", "functional": "PBE", "state": "optimized geometry", "lattice": [[4.4864, 0.0000, 0.0000], [0.0000, 4.5942, 0.0000], [0.0000, 0.0000, 4.4864]], "species": ["Cl", "Co", "Co", "Rb", "Ti"], "frac_coords": [[0.0000, 0.0000, 0.0000], [0.0000, 0.0000, 0.5000], [0.5000, 0.0000, 0.0000], [0.5000, 0.5000, 0.5000], [0.0000, 0.5000, 0.0000]], "magmom_total_mub_per_cell": 1.70, "final_energy_ev_per_atom": -3.9559, "raw_formation_energy_kj_per_mol_fu": 496, "vol_a3_per_cell": 92, "dos_at_fermi_per_ev_fu": 5.72}


# 3
{"formula": "PrGdS2", "functional": "PBE", "state": "optimized geometry", "lattice": [[-3.2926, 1.6129, -1.6672], [-0.9728, -0.8907, -3.8056], [-5.0116, -4.8963, 0.2957]], "species": ["Pr", "S", "S", "Gd"], "frac_coords": [[0.5000, 0.5000, 0.5000], [0.2546, 0.2546, 0.2361], [0.7454, 0.7454, 0.7639], [0.0000, 0.0000, 0.0000]], "magmom_total_mub_per_cell": 6.83, "final_energy_ev_per_atom": -8.8324, "raw_formation_energy_kj_per_mol_fu": -793, "vol_a3_per_cell": 93, "dos_at_fermi_per_ev_fu": 1.74}


# 4
{"formula": "YSb", "functional": "PBE", "state": "optimized geometry", "lattice": [[-1.6401, -3.5897, 2.0358], [-0.3324, 0.3974, -4.4105], [6.1444, -3.2352, -0.7545]], "species": ["Sb", "Sb", "Y", "Y"], "frac_coords": [[0.0000, 0.0000, 0.0000], [0.0000, 0.0000, 0.5000], [0.3333, 0.6667, 0.2500], [0.6667, 0.3333, 0.7500]], "magmom_total_mub_per_cell": 0.00, "final_energy_ev_per_atom": -6.3109, "raw_formation_energy_kj_per_mol_fu": -196, "vol_a3_per_cell": 119, "dos_at_fermi_per_ev_fu": 0.51}


# 5
{"formula": "Cu2SiPt", "functional": "PBE", "state": "optimized geometry", "lattice": [[4.5784, -0.0320, -0.0209], [1.5520, 4.3075, 0.0209], [-2.9742, -2.2682, 2.6406]], "species": ["Si", "Cu", "Cu", "Pt"], "frac_coords": [[0.7503, 0.2503, 0.5000], [0.9842, 0.9842, 0.0000], [0.2520, 0.7520, 0.5000], [0.5134, 0.5134, 0.0000]], "magmom_total_mub_per_cell": 0.00, "final_energy_ev_per_atom": -5.1778, "raw_formation_energy_kj_per_mol_fu": -102, "vol_a3_per_cell": 52, "dos_at_fermi_per_ev_fu": 1.39}


# 6
{"formula": "Ce2Pu3ThN6", "functional": "PBE", "state": "optimized geometry", "lattice": [[6.1499, 0.0000, 0.0006], [-3.0734, 5.3268, 0.0006], [-1.0258, -1.7761, 5.7762]], "species": ["Ce", "Ce", "Pu", "Pu", "Pu", "Th", "N", "N", "N", "N", "N", "N"], "frac_coords": [[0.3335, 0.6665, 0.0000], [0.6665, 0.3335, 0.0000], [0.1680, 0.8320, 0.5000], [0.8320, 0.1680, 0.5000], [0.5000, 0.5000, 0.5000], [0.0000, 0.0000, 0.0000], [0.9128, 0.5795, 0.7383], [0.7543, 0.7543, 0.2624], [0.0872, 0.4205, 0.2617], [0.5795, 0.9128, 0.7383], [0.2457, 0.2457, 0.7376], [0.4205, 0.0872, 0.2617]], "magmom_total_mub_per_cell": 15.84, "final_energy_ev_per_atom": -10.7486, "raw_formation_energy_kj_per_mol_fu": -1616, "vol_a3_per_cell": 189, "dos_at_fermi_per_ev_fu": 16.66}


# 7
{"formula": "ZrAsSe2Br", "functional": "PBE", "state": "optimized geometry", "lattice": [[5.1251, 0.0000, 0.0000], [0.0000, 5.1251, 0.0000], [0.0000, 0.0000, 5.4977]], "species": ["As", "Se", "Se", "Br", "Zr"], "frac_coords": [[0.0000, 0.0000, 0.5000], [0.0000, 0.5000, 0.0000], [0.5000, 0.0000, 0.0000], [0.5000, 0.5000, 0.5000], [0.0000, 0.0000, 0.0000]], "magmom_total_mub_per_cell": 0.00, "final_energy_ev_per_atom": -4.4966, "relative_energy_mev_per_atom": 39, "raw_formation_energy_kj_per_mol_fu": -62, "vol_a3_per_cell": 144, "dos_at_fermi_per_ev_fu": 5.20}


# 8
{"formula": "Sr2MnAs", "functional": "PBE", "state": "optimized geometry", "lattice": [[-5.3145, 3.8265, -5.0336], [-7.8455, 1.1027, -2.3355], [-6.3929, 5.1722, -0.7756]], "species": ["As", "Mn", "Sr", "Sr"], "frac_coords": [[0.2500, 0.2500, 0.2500], [0.7500, 0.7500, 0.7500], [0.9838, 0.9838, 0.9838], [0.5162, 0.5162, 0.5162]], "e_form_kj_per_mol_fu": -33, "magmom_total_mub_per_cell": 4.17, "final_energy_ev_per_atom": -4.3804, "vol_a3_per_cell": 143, "dos_at_fermi_per_ev_fu": 3.86}


Question: What is the formula in the second record?
Answer: RbTiCo2Cl


Question: Which formula does entry 7 have?
Answer: ZrAsSe2Br